1.
This record from Alexandria describes an optimized crystal structure of Ba3Na2Sr5. The functional is PBE-GGA.

Values from the calculation:
For the total energy, the calculation gives -15.24 eV/f.u.

a b c (Å): 12.2989 11.1680 11.9330
angles (deg): 117.90 121.02 90.00
Atoms (fractional coordinates):
Ba1 0.2500 0.9990 0.0000
Ba2 0.7500 0.0010 0.0000
Ba3 0.6287 0.4294 0.2579
Ba4 0.3713 0.5706 0.7421
Ba5 0.1287 0.8284 0.2579
Ba6 0.8713 0.1716 0.7421
Na1 0.8592 0.8424 0.7184
Na2 0.1408 0.1576 0.2816
Na3 0.3592 0.8760 0.7184
Na4 0.6408 0.1240 0.2816
Sr1 0.2500 0.5004 0.0000
Sr2 0.7500 0.4996 0.0000
Sr3 0.9988 0.7485 0.4978
Sr4 0.5012 0.2507 0.5022
Sr5 0.0012 0.2515 0.5022
Sr6 0.4988 0.7493 0.4978
Sr7 0.8739 0.5499 0.7479
Sr8 0.1261 0.4501 0.2521
Sr9 0.3739 0.1980 0.7479
Sr10 0.6261 0.8020 0.2521

2.
This record from Alexandria describes an optimized crystal structure of BaNa6Sr12. The functional is PBE-GGA.

Values from the calculation:
The energy above the most stable polymorph in this dataset is 0.016 eV/atom. For the total energy, the calculation gives -28.73 eV/f.u.

a b c (Å): 9.8998 9.8998 9.8998
angles (deg): 87.39 87.39 87.39
Atoms (fractional coordinates):
Ba1 0.0000 0.0000 0.0000
Na1 0.2674 0.1126 0.7307
Na2 0.8874 0.2693 0.7326
Na3 0.2693 0.7326 0.8874
Na4 0.7326 0.8874 0.2693
Na5 0.1126 0.7307 0.2674
Na6 0.7307 0.2674 0.1126
Sr1 0.5696 0.1982 0.4708
Sr2 0.1982 0.4708 0.5696
Sr3 0.4708 0.5696 0.1982
Sr4 0.4304 0.8018 0.5292
Sr5 0.8018 0.5292 0.4304
Sr6 0.5292 0.4304 0.8018
Sr7 0.9644 0.8398 0.6209
Sr8 0.3791 0.0356 0.1602
Sr9 0.1602 0.3791 0.0356
Sr10 0.0356 0.1602 0.3791
Sr11 0.6209 0.9644 0.8398
Sr12 0.8398 0.6209 0.9644

3.
This record from Alexandria describes an optimized crystal structure of Ba2Na7Sr2. The functional is PBE-GGA.

Values from the calculation:
For the total energy, the calculation gives -13.52 eV/f.u.

a b c (Å): 9.7060 6.3707 9.7060
angles (deg): 90.00 93.94 90.00
Atoms (fractional coordinates):
Ba1 0.8200 0.5000 0.8200
Ba2 0.1800 0.5000 0.1800
Na1 0.9998 0.2545 0.5003
Na2 0.5003 0.7455 0.9998
Na3 0.0002 0.7455 0.4997
Na4 0.4997 0.2545 0.0002
Na5 0.0000 0.0000 0.0000
Na6 0.5002 0.7453 0.4998
Na7 0.4998 0.2547 0.5002
Sr1 0.7508 0.0000 0.2492
Sr2 0.2492 0.0000 0.7508

4.
This record from Alexandria describes an optimized crystal structure of Ba3Na2Sr4. The functional is PBE-GGA.

Values from the calculation:
For the total energy, the calculation gives -14.95 eV/f.u.

a b c (Å): 6.4171 8.6329 11.4083
angles (deg): 57.60 73.67 68.18
Atoms (fractional coordinates):
Ba1 0.5727 0.1964 0.6582
Ba2 0.0000 0.0000 0.0000
Ba3 0.4273 0.8036 0.3418
Na1 0.7799 0.1260 0.3143
Na2 0.2201 0.8740 0.6857
Sr1 0.3320 0.3601 0.9758
Sr2 0.8748 0.5932 0.6572
Sr3 0.1252 0.4068 0.3428
Sr4 0.6680 0.6399 0.0242

Number 1: calculated volume 58.8 A^3/atom, ΔH_f (0 K) 0.16 eV/atom, magnetic moment 0.0 μB/f.u.. Number 2: calculated volume 50.9 A^3/atom, ΔH_f (0 K) 0.07 eV/atom, magnetic moment 0.0 μB/f.u.. Number 3: calculated volume 54.4 A^3/atom, ΔH_f (0 K) 0.27 eV/atom, magnetic moment 0.0 μB/f.u.. Number 4: calculated volume 54.7 A^3/atom, ΔH_f (0 K) 0.02 eV/atom, magnetic moment 0.0 μB/f.u..